This record from Alexandria via LeMat-Bulk describes a geometry-optimized Ba3ThV2O9 structure. The functional is GGA+U.

Output
As for the volume: 221.7 Å³/cell. As for the symmetry: P-3m1, No. 164. The calculated total energy comes out at -113.2 eV for the cell shown.

abc: 5.913 5.913 7.324
angles: 90.00 90.00 120.00
Sites, in units of the cell vectors:
1 Ba 0.000 0.000 0.000
2 Ba 0.333 0.667 0.696
3 Ba 0.667 0.333 0.304
4 Th 0.000 0.000 0.500
5 V 0.333 0.667 0.157
6 V 0.667 0.333 0.843
7 O 0.000 0.500 0.000
8 O 0.177 0.355 0.310
9 O 0.177 0.823 0.310
10 O 0.355 0.177 0.690
11 O 0.500 0.000 0.000
12 O 0.500 0.500 0.000
13 O 0.645 0.823 0.310
14 O 0.823 0.177 0.690
15 O 0.823 0.645 0.690